Computed, not measured: KCd3P at its PBEsol-relaxed geometry at the meta-GGA SCAN level of DFT.

Cell: 6.0722 6.0722 6.0722 Å, 90.00 90.00 90.00°
Closest atoms and distances in Å follow each position.
Positions (direct):
1 P 0.5000 0.5000 0.5000  12 Cd 4.29
2 K 0.0000 0.0000 0.0000  6 Cd 3.04
3 Cd 0.0000 0.5000 0.0000  2 K 3.04
4 Cd 0.0000 0.0000 0.5000  2 K 3.04
5 Cd 0.5000 0.0000 0.0000  2 K 3.04

Values from the calculation:
SG	No. 221
formation energy	1.11	eV per atom

Computed, not measured: KCdP2 at its PBEsol-relaxed geometry at the meta-GGA SCAN level of DFT.

Cell: 3.4154 3.4154 9.1328 Å, 79.22 79.22 60.00°
Closest atoms and distances in Å follow each position.
Positions (direct):
1 Cd 0.4848 0.4848 0.5456  3 P 3.00
2 K 0.2590 0.2590 0.2229  3 P 3.25, 6 K 3.42, 3 Cd 3.49
3 P 0.0225 0.0225 0.9326  3 P 2.30
4 P 0.7337 0.7337 0.7989  3 P 2.30

Values from the calculation:
SG	No. 160
formation energy	0.07	eV per atom